Record 1
# CaV2InIr GGA-PBE relaxed
data_CaV2InIr
_space_group_name_H-M_alt 'P 1'
_space_group_IT_number 1
_space_group_name_Hall 'P 1'
_cell_length_a 4.2574
_cell_length_b 5.1849
_cell_length_c 4.2574
_cell_angle_alpha 90.00
_cell_angle_beta 90.00
_cell_angle_gamma 90.00
loop_
_atom_site_label
_atom_site_type_symbol
_atom_site_fract_x
_atom_site_fract_y
_atom_site_fract_z
Ir1 Ir 0.5000 0.5000 0.5000
Ca1 Ca 0.0000 0.0000 0.0000
In1 In 0.0000 0.5000 0.0000
V1 V 0.0000 0.0000 0.5000
V2 V 0.5000 0.0000 0.0000
# **Energy**: -0.1563 Ha/atom
# **Crystal system**: tetragonal



Record 2
# Nb6PC GGA-PBE relaxed
data_Nb6PC
_space_group_name_H-M_alt 'P 1'
_space_group_IT_number 1
_space_group_name_Hall 'P 1'
_cell_length_a 5.6327
_cell_length_b 5.3019
_cell_length_c 6.3565
_cell_angle_alpha 58.94
_cell_angle_beta 64.61
_cell_angle_gamma 59.38
loop_
_atom_site_label
_atom_site_type_symbol
_atom_site_fract_x
_atom_site_fract_y
_atom_site_fract_z
Nb1 Nb 0.2527 0.9840 0.1925
Nb2 Nb 0.3899 0.7607 0.7721
C1 C 0.0000 0.0000 0.0000
Nb3 Nb 0.0524 0.4383 0.7279
Nb4 Nb 0.7473 0.0160 0.8075
P1 P 0.5000 0.5000 0.5000
Nb5 Nb 0.6101 0.2393 0.2279
Nb6 Nb 0.9476 0.5617 0.2721
# **Energy**: -0.3533 Ha/atom
# **Crystal system**: triclinic